[1]
Computed, not measured: an optimized crystal structure of LiCa3P at the GGA-PBE level of DFT.

Unit cell a=10.9895 b=10.9895 c=9.0797 alpha=90.00 beta=90.00 gamma=90.00
Space group I-4m2 (No. 119)
Asymmetric unit:
Li 0.0000 0.0000 0.0000 (multiplicity 2)
Li 0.0000 0.5000 0.2500 (multiplicity 2)
Ca 0.0000 0.2276 0.2775 (multiplicity 8)
Ca 0.0000 0.5000 0.5549 (multiplicity 4)
P 0.0000 0.0000 0.3774 (multiplicity 4)

Summary:
Crystal system: tetragonal
DFT formation energy in kJ/mol of atoms: 34.6
Electronic total energy in eV/atom: -2.31
Calculated density in g/cm3: 1.0
Calculated volume in Å³ per cell: 1096.5
Offset from the most stable computed form in eV per atom: 0.8855

=====

[2]
Computed, not measured: an optimized crystal structure of Li3CaP2 at the GGA-PBE level of DFT.

Unit cell a=4.1292 b=7.6375 c=13.0860 alpha=90.00 beta=90.00 gamma=90.00
Space group Immm (No. 71)
Asymmetric unit:
Li 0.0000 0.1625 0.0000 (multiplicity 4)
Li 0.0000 0.3137 0.3367 (multiplicity 8)
Ca 0.0000 0.5000 0.1383 (multiplicity 4)
P 0.0000 0.0000 0.1916 (multiplicity 4)
P 0.0000 0.1473 0.5000 (multiplicity 4)

Summary:
Crystal system: orthorhombic
DFT formation energy in kJ/mol of atoms: -76.7
Electronic total energy in eV/atom: -3.89
Calculated density in g/cm3: 2.0
Calculated volume in Å³ per cell: 412.7

=====

[3]
Computed, not measured: an optimized crystal structure of LiCa3P at the GGA-PBE level of DFT.

Unit cell a=9.9043 b=7.0683 c=10.0735 alpha=90.00 beta=113.17 gamma=90.00
Space group P2_1/c (No. 14)
Asymmetric unit:
Li 0.0656 0.1686 0.0673 (multiplicity 4)
Ca 0.1359 0.6074 0.2371 (multiplicity 4)
Ca 0.2969 0.0791 0.4457 (multiplicity 4)
Ca 0.4072 0.5673 0.6276 (multiplicity 4)
P 0.4257 0.7480 0.8835 (multiplicity 4)

Summary:
Crystal system: monoclinic
DFT formation energy in kJ/mol of atoms: -48.6
Electronic total energy in eV/atom: -3.17
Calculated density in g/cm3: 1.6
Calculated volume in Å³ per cell: 648.4
Offset from the most stable computed form in eV per atom: 0.0231

=====

[4]
Computed, not measured: an optimized crystal structure of LiCa3P at the GGA-PBE level of DFT.

Unit cell a=12.9046 b=14.9559 c=7.0436 alpha=90.00 beta=94.87 gamma=90.00
Space group C2/c (No. 15)
Asymmetric unit:
Li 0.1158 0.0637 0.1308 (multiplicity 8)
Ca 0.1169 0.1588 0.5954 (multiplicity 8)
Ca 0.1215 0.4319 0.6055 (multiplicity 8)
Ca 0.1222 0.2991 0.0961 (multiplicity 8)
P 0.0000 0.2903 0.7500 (multiplicity 4)
P 0.0000 0.4293 0.2500 (multiplicity 4)

Summary:
Crystal system: monoclinic
DFT formation energy in kJ/mol of atoms: -44.8
Electronic total energy in eV/atom: -3.13
Calculated density in g/cm3: 1.6
Calculated volume in Å³ per cell: 1354.5
Offset from the most stable computed form in eV per atom: 0.0623